InAg2Pd PBE optimized geometry; calculated total energy = -14.37 eV/f.u.; symmetry = No. 216
1.0
0.0000 3.2804 3.2804
3.2804 0.0000 3.2804
3.2804 3.2804 0.0000
Ag In Pd
2 1 1
direct
0.7500 0.7500 0.7500
0.0000 0.0000 0.0000
0.5000 0.5000 0.5000
0.2500 0.2500 0.2500

---

NaPm PBE optimized geometry; calculated total energy = -4.68 eV/f.u.; symmetry = No. 194
1.0
5.0975 0.0000 0.0000
-2.5487 4.4145 0.0000
0.0000 0.0000 5.7622
Na Pm
2 2
direct
0.0000 0.0000 0.5000
0.0000 0.0000 0.0000
0.3333 0.6667 0.2500
0.6667 0.3333 0.7500

---

Li2TbDySe2O2 PBE optimized geometry; calculated total energy = -49.15 eV/f.u.; symmetry = No. 99
1.0
3.9051 0.0000 0.0000
0.0000 3.9051 0.0000
0.0000 0.0000 8.8865
Li Se O Tb Dy
2 2 2 1 1
direct
0.5000 0.0000 0.5003
0.0000 0.5000 0.5003
0.5000 0.5000 0.6803
0.0000 0.0000 0.3197
0.0000 0.5000 0.9992
0.5000 0.0000 0.9992
0.5000 0.5000 0.1256
0.0000 0.0000 0.8754

---

DyErTeO2 PBE optimized geometry; calculated total energy = -36.67 eV/f.u.; symmetry = No. 156
1.0
3.8739 0.0000 0.0000
-1.9370 3.3549 0.0000
0.0000 0.0000 7.1202
O Dy Te Er
2 1 1 1
direct
0.6667 0.3333 0.3802
0.0000 0.0000 0.6227
0.0000 0.0000 0.3036
0.3333 0.6667 0.9979
0.6667 0.3333 0.6956

---

LaNdAl2Co4 PBE optimized geometry; calculated total energy = -47.74 eV/f.u.; symmetry = No. 187
1.0
-0.6032 0.7734 -4.0774
3.6103 -1.6906 1.3019
-3.7060 -8.7737 -1.1159
Co Nd La Al
4 1 1 2
direct
0.6667 0.3333 0.2193
0.0000 0.0000 0.7215
0.0000 0.0000 0.2785
0.6667 0.3333 0.7807
0.6667 0.3333 0.5000
0.0000 0.0000 0.0000
0.3333 0.6667 0.2558
0.3333 0.6667 0.7442

---

LaYTm PBE optimized geometry; calculated total energy = -13.79 eV/f.u.; symmetry = No. 216
1.0
0.0000 3.8786 3.8786
3.8786 0.0000 3.8786
3.8786 3.8786 0.0000
Y La Tm
1 1 1
direct
0.7500 0.7500 0.7500
0.2500 0.2500 0.2500
0.0000 0.0000 0.0000

---

Which formula does entry 6 have?
LaYTm

---

What is the calculated total energy in the fourth record?
-36.67 eV/f.u.

---

Please write out number 6 again, unchanged.
LaYTm PBE optimized geometry; calculated total energy = -13.79 eV/f.u.; symmetry = No. 216
1.0
0.0000 3.8786 3.8786
3.8786 0.0000 3.8786
3.8786 3.8786 0.0000
Y La Tm
1 1 1
direct
0.7500 0.7500 0.7500
0.2500 0.2500 0.2500
0.0000 0.0000 0.0000